# 1
First-principles (PBE-GGA) data for a relaxed AgTe2Br crystal, as listed in Alexandria via LeMat-Bulk.

Results
- DFT total energy: -21.12 eV/cell
- Density of states at the Fermi level: 5.042 states/eV/cell
- Raw formation energy: 0.25 eV/f.u.
- Symmetry: Cmm2, No. 35

The structure in POSCAR format:
```
AgTe2Br
1.0
3.947 0.000 0.000
0.000 7.722 0.000
0.000 0.000 8.592
Ag Te Br
2 4 2
Cartesian
0.000 0.000 0.000
1.974 3.861 0.000
0.000 0.000 4.402
0.000 3.861 6.499
1.974 0.000 6.499
1.974 3.861 4.402
0.000 3.861 1.792
1.974 0.000 1.792
```

=====

# 2
First-principles (PBE-GGA) data for a relaxed La2DyCd3 crystal, as listed in Alexandria via LeMat-Bulk.

Results
- DFT total energy: -19.12 eV/cell
- ΔE_f: -0.3194 eV per atom
- Density of states at the Fermi level: 7.409 states/eV/cell
- Symmetry: P4/mmm, No. 123

The structure in POSCAR format:
```
La2DyCd3
1.0
3.815 0.000 0.000
0.000 3.815 0.000
0.000 0.000 11.952
La Dy Cd
2 1 3
Cartesian
0.000 0.000 2.084
0.000 0.000 9.867
0.000 0.000 5.976
1.907 1.907 0.000
1.907 1.907 4.208
1.907 1.907 7.743
```

=====

# 3
First-principles (PBE-GGA) data for a relaxed Te2OsAuN crystal, as listed in Alexandria via LeMat-Bulk.

Results
- Energy relative to the lowest polymorph listed for this composition: 0 meV per atom
- DFT total energy: -26.91 eV/cell
- Density of states at the Fermi level: 3.246 states/eV/cell
- Raw formation energy: 2.20 eV/f.u.
- Symmetry: P4/mmm, No. 123

The structure in POSCAR format:
```
Te2OsAuN
1.0
5.456 0.000 0.000
0.000 5.456 0.000
0.000 0.000 3.656
Te Os Au N
2 1 1 1
Cartesian
0.000 2.728 0.000
2.728 0.000 0.000
0.000 0.000 0.000
2.728 2.728 1.828
0.000 0.000 1.828
```